Record 1
Computed, not measured: SmSi2Pd after structural relaxation at the PBEsol level of DFT.

ΔE_f (raw), eV/atom: -0.916
Calculated volume, Å³/cell: 289.0

CIF file:
```
data_SmSi2Pd
_chemical_formula_sum 'Sm4 Si8 Pd4'
_space_group_name_H-M_alt 'C m c m'
_space_group_IT_number 63
_space_group_name_Hall '-C 2c 2'
_cell_length_a 4.1596
_cell_length_b 16.7559
_cell_length_c 4.1471
_cell_angle_alpha 90.00
_cell_angle_beta 90.00
_cell_angle_gamma 90.00
loop_
_atom_site_label
_atom_site_fract_x
_atom_site_fract_y
_atom_site_fract_z
Sm1 0.0000 0.1032 0.2500
Si1 0.0000 0.2498 0.7500
Si2 0.0000 0.4648 0.2500
Pd1 0.0000 0.3230 0.2500
```



Record 2
Computed, not measured: SmSiPd2 after structural relaxation at the PBEsol level of DFT.

ΔE_f (raw), eV/atom: -0.984
Calculated volume, Å³/cell: 281.6

CIF file:
```
data_SmSiPd2
_chemical_formula_sum 'Sm4 Si4 Pd8'
_space_group_name_H-M_alt 'P n m a'
_space_group_IT_number 62
_space_group_name_Hall '-P 2ac 2n'
_cell_length_a 7.3766
_cell_length_b 6.8788
_cell_length_c 5.5499
_cell_angle_alpha 90.00
_cell_angle_beta 90.00
_cell_angle_gamma 90.00
loop_
_atom_site_label
_atom_site_fract_x
_atom_site_fract_y
_atom_site_fract_z
Sm1 0.0300 0.2500 0.1423
Si1 0.1225 0.7500 0.3546
Pd1 0.1755 0.0525 0.5930
```



Record 3
Computed, not measured: Si3SnPd after structural relaxation at the PBEsol level of DFT.

ΔE_f (raw), eV/atom: 0.454
Calculated volume, Å³/cell: 102.5

CIF file:
```
data_Si3SnPd
_chemical_formula_sum 'Si3 Sn1 Pd1'
_space_group_name_H-M_alt 'P m -3 m'
_space_group_IT_number 221
_space_group_name_Hall '-P 4 2 3'
_cell_length_a 4.6792
_cell_length_b 4.6792
_cell_length_c 4.6792
_cell_angle_alpha 90.00
_cell_angle_beta 90.00
_cell_angle_gamma 90.00
loop_
_atom_site_label
_atom_site_fract_x
_atom_site_fract_y
_atom_site_fract_z
Si1 0.0000 0.0000 0.5000
Sn1 0.5000 0.5000 0.5000
Pd1 0.0000 0.0000 0.0000
```



Record 4
Computed, not measured: SrSi2Pd2 after structural relaxation at the PBEsol level of DFT.

ΔE_f (raw), eV/atom: -0.796
Calculated volume, Å³/cell: 180.6

CIF file:
```
data_SrSi2Pd2
_chemical_formula_sum 'Sr2 Si4 Pd4'
_space_group_name_H-M_alt 'I 4/m m m'
_space_group_IT_number 139
_space_group_name_Hall '-I 4 2'
_cell_length_a 4.2600
_cell_length_b 4.2600
_cell_length_c 9.9525
_cell_angle_alpha 90.00
_cell_angle_beta 90.00
_cell_angle_gamma 90.00
loop_
_atom_site_label
_atom_site_fract_x
_atom_site_fract_y
_atom_site_fract_z
Sr1 0.0000 0.0000 0.0000
Si1 0.0000 0.0000 0.3739
Pd1 0.0000 0.5000 0.2500
```



Record 5
Computed, not measured: SrSi2Pd after structural relaxation at the PBEsol level of DFT.

ΔE_f (raw), eV/atom: -0.061
Calculated volume, Å³/cell: 295.4

CIF file:
```
data_SrSi2Pd
_chemical_formula_sum 'Sr4 Si8 Pd4'
_space_group_name_H-M_alt 'F m -3 m'
_space_group_IT_number 225
_space_group_name_Hall '-F 4 2 3'
_cell_length_a 6.6596
_cell_length_b 6.6596
_cell_length_c 6.6596
_cell_angle_alpha 90.00
_cell_angle_beta 90.00
_cell_angle_gamma 90.00
loop_
_atom_site_label
_atom_site_fract_x
_atom_site_fract_y
_atom_site_fract_z
Sr1 0.0000 0.0000 0.0000
Si1 0.2500 0.2500 0.2500
Pd1 0.0000 0.0000 0.5000
```



Record 6
Computed, not measured: SrSiPd3 after structural relaxation at the PBEsol level of DFT.

ΔE_f (raw), eV/atom: -0.545
Calculated volume, Å³/cell: 98.3

CIF file:
```
data_SrSiPd3
_chemical_formula_sum 'Sr1 Si1 Pd3'
_space_group_name_H-M_alt 'P m -3 m'
_space_group_IT_number 221
_space_group_name_Hall '-P 4 2 3'
_cell_length_a 4.6158
_cell_length_b 4.6158
_cell_length_c 4.6158
_cell_angle_alpha 90.00
_cell_angle_beta 90.00
_cell_angle_gamma 90.00
loop_
_atom_site_label
_atom_site_fract_x
_atom_site_fract_y
_atom_site_fract_z
Sr1 0.0000 0.0000 0.0000
Si1 0.5000 0.5000 0.5000
Pd1 0.0000 0.5000 0.5000
```